# NiGe2PdO6

A relaxed structure of NiGe2PdO6 (PBE with a Hubbard U, Alexandria via LeMat-Bulk).

abc: 5.3601 6.7339 6.7339
angles: 85.51 80.97 80.97
Site moments in Bohr magnetons follow the coordinates.
Atoms (fractional coordinates):
Ni 0.2500 0.9080 0.0920  1.79
Ni 0.7500 0.0920 0.9080  1.79
Ge 0.2129 0.7967 0.6085  0.03
Ge 0.2871 0.3915 0.2033  0.03
Ge 0.7871 0.2033 0.3915  0.03
Ge 0.7129 0.6085 0.7967  0.03
Pd 0.2500 0.2722 0.7278  1.33
Pd 0.7500 0.7278 0.2722  1.33
O 0.1273 0.9704 0.8027  0.17
O 0.3727 0.1973 0.0296  0.17
O 0.8727 0.0296 0.1973  0.17
O 0.6273 0.8027 0.9704  0.17
O 0.3586 0.8791 0.3744  0.12
O 0.1414 0.6256 0.1209  0.12
O 0.6414 0.1209 0.6256  0.12
O 0.8586 0.3744 0.8791  0.12
O 0.9226 0.6998 0.5820  0.06
O 0.5774 0.4180 0.3002  0.06
O 0.0774 0.3002 0.4180  0.06
O 0.4226 0.5820 0.6998  0.06

Properties
SG   C2/c
Total energy   -5.85 eV per atom